[1]
LiAcLa: relaxed, PBE.

Values from the calculation:
Energy of formation = 0.04 eV per atom
Relative energy among the computed polymorphs = 0 meV per atom
Space-group type = C2 (5)
Crystal system = monoclinic
Magnetic moment = 0.00 μB/cell

abc: 3.8609 3.8609 13.8588
angles: 90.02 90.02 90.00
Closest atoms and distances in Å follow each position.
Positions (direct):
Li (0.2499, 0.2499, 0.0450)  4 Li 3.00
Li (0.7501, 0.7501, 0.9550)  4 Li 3.00
Ac (0.2512, 0.2502, 0.7861)  5 Li 3.59-3.60, 4 La 3.82-3.83, 4 Ac 3.86
Ac (0.7498, 0.7488, 0.2139)  5 Li 3.59-3.60, 4 La 3.82-3.83, 4 Ac 3.86
La (0.2511, 0.2492, 0.4074)  8 La 3.75-3.86, 4 Ac 3.82-3.83
La (0.7508, 0.7489, 0.5926)  8 La 3.75-3.86, 4 Ac 3.82-3.83

***

[2]
LiAcLa14: relaxed, PBE.

Values from the calculation:
Energy of formation = 0.03 eV per atom
Space-group type = P4/mmm (123)
Crystal system = tetragonal
Magnetic moment = 0.00 μB/cell

abc: 7.4027 7.4027 10.5993
angles: 90.00 90.00 90.00
Closest atoms and distances in Å follow each position.
Positions (direct):
Li (0.0000, 0.0000, 0.0000)  12 La 3.70-3.71
Ac (0.5000, 0.5000, 0.0000)  12 La 3.70-3.76
La (0.0000, 0.0000, 0.5000)  12 La 3.69-3.70
La (0.0000, 0.5000, 0.0000)  2 Ac 3.70, 2 Li 3.70, 8 La 3.73
La (0.0000, 0.5000, 0.5000)  12 La 3.70-3.72
La (0.2466, 0.2466, 0.2508)  10 La 3.65-3.75, 1 Li 3.71, 1 Ac 3.76
La (0.2466, 0.2466, 0.7492)  10 La 3.65-3.75, 1 Li 3.71, 1 Ac 3.76
La (0.2466, 0.7534, 0.2508)  10 La 3.65-3.75, 1 Li 3.71, 1 Ac 3.76
La (0.2466, 0.7534, 0.7492)  10 La 3.65-3.75, 1 Li 3.71, 1 Ac 3.76
La (0.5000, 0.0000, 0.0000)  2 Ac 3.70, 2 Li 3.70, 8 La 3.73
La (0.5000, 0.0000, 0.5000)  12 La 3.70-3.72
La (0.5000, 0.5000, 0.5000)  12 La 3.70-3.74
La (0.7534, 0.2466, 0.2508)  10 La 3.65-3.75, 1 Li 3.71, 1 Ac 3.76
La (0.7534, 0.2466, 0.7492)  10 La 3.65-3.75, 1 Li 3.71, 1 Ac 3.76
La (0.7534, 0.7534, 0.2508)  10 La 3.65-3.75, 1 Li 3.71, 1 Ac 3.76
La (0.7534, 0.7534, 0.7492)  10 La 3.65-3.75, 1 Li 3.71, 1 Ac 3.76

***

[3]
LiAcLaLu: relaxed, PBE.

Values from the calculation:
Energy of formation = 0.12 eV per atom
Space-group type = F-43m (216)
Crystal system = cubic
Magnetic moment = 0.00 μB/cell

abc: 5.7419 5.7419 5.7419
angles: 60.00 60.00 60.00
Closest atoms and distances in Å follow each position.
Positions (direct):
Li (0.0000, 0.0000, 0.0000)  4 Ac 3.52, 4 La 3.52
Ac (0.7500, 0.7500, 0.7500)  4 Li 3.52, 4 Lu 3.52
La (0.2500, 0.2500, 0.2500)  4 Li 3.52, 4 Lu 3.52
Lu (0.5000, 0.5000, 0.5000)  4 Ac 3.52, 4 La 3.52

***

[4]
LiAcLaMg: relaxed, PBE.

Values from the calculation:
Energy of formation = 0.01 eV per atom
Space-group type = F-43m (216)
Crystal system = cubic
Magnetic moment = 0.00 μB/cell

abc: 5.6946 5.6946 5.6946
angles: 60.00 60.00 60.00
Closest atoms and distances in Å follow each position.
Positions (direct):
Li (0.0000, 0.0000, 0.0000)  4 Ac 3.49, 4 La 3.49
Ac (0.7500, 0.7500, 0.7500)  4 Li 3.49, 4 Mg 3.49
La (0.2500, 0.2500, 0.2500)  4 Li 3.49, 4 Mg 3.49
Mg (0.5000, 0.5000, 0.5000)  4 Ac 3.49, 4 La 3.49

***

[5]
LiAcLaNi: relaxed, PBE.

Values from the calculation:
Energy of formation = 0.00 eV per atom
Space-group type = F-43m (216)
Crystal system = cubic
Magnetic moment = 0.00 μB/cell

abc: 5.2858 5.2858 5.2858
angles: 60.00 60.00 60.00
Closest atoms and distances in Å follow each position.
Positions (direct):
Li (0.0000, 0.0000, 0.0000)  4 Ac 3.24, 4 La 3.24
Ac (0.2500, 0.2500, 0.2500)  4 Ni 3.24, 4 Li 3.24
La (0.7500, 0.7500, 0.7500)  4 Ni 3.24, 4 Li 3.24
Ni (0.5000, 0.5000, 0.5000)  4 La 3.24, 4 Ac 3.24

***

[6]
LiAcLaO4: relaxed, PBE.

Values from the calculation:
Space-group type = Cmcm (63)
Formation energy (no corrections) = -1846 kJ/mol of formula units
Crystal system = orthorhombic
Magnetic moment = 0.60 μB/cell

abc: 7.2066 7.2066 5.1776
angles: 90.00 90.00 134.52
Closest atoms and distances in Å follow each position.
Positions (direct):
Li (0.2438, 0.7562, 0.7500)  4 O 1.90
Li (0.7562, 0.2438, 0.2500)  4 O 1.90
Ac (0.1144, 0.8856, 0.2500)  7 O 2.50-2.64
Ac (0.8856, 0.1144, 0.7500)  7 O 2.50-2.64
La (0.3851, 0.6149, 0.2500)  7 O 2.39-2.67
La (0.6149, 0.3851, 0.7500)  7 O 2.39-2.67
O (0.0000, 0.5000, 0.0000)  2 Li 1.90
O (0.0000, 0.5000, 0.5000)  2 Li 1.90
O (0.0737, 0.9263, 0.7500)  1 Li 2.26, 1 Ac 2.50
O (0.4352, 0.5648, 0.7500)  3 La 2.39-2.67, 1 Li 2.54
O (0.5000, 0.0000, 0.0000)  2 Li 1.90
O (0.5000, 0.0000, 0.5000)  2 Li 1.90
O (0.5648, 0.4352, 0.2500)  3 La 2.39-2.67, 1 Li 2.54
O (0.9263, 0.0737, 0.2500)  1 Li 2.26, 1 Ac 2.50